one) Mg5Cd2In | GGA-PBE | relaxed

Calculated values
**Size of the total moment**: 0.0 μB per formula unit
**V**: 370.5 Å³/cell
**Density of states at the Fermi level**: 6.34 states/eV/cell
**Space-group type**: I4/mcm (140)

Cell lengths 7.461, 7.461, 8.493 Å; angles 116.06, 116.06, 90.00 degrees
Fractional coordinates of all 16 atoms:
Cd (0.360, 0.860, 0.000)
Mg (0.000, 0.000, 0.000)
Cd (0.140, 0.360, 0.000)
Cd (0.640, 0.140, 0.000)
In (0.750, 0.750, 0.500)
Mg (0.997, 0.497, 0.685)
Cd (0.860, 0.640, 0.000)
Mg (0.188, 0.997, 0.685)
Mg (0.812, 0.003, 0.315)
Mg (0.312, 0.812, 0.315)
Mg (0.503, 0.312, 0.315)
In (0.250, 0.250, 0.500)
Mg (0.500, 0.500, 0.000)
Mg (0.688, 0.188, 0.685)
Mg (0.497, 0.688, 0.685)
Mg (0.003, 0.503, 0.315)

two) Mg5Cd2In | GGA-PBE | relaxed

Calculated values
**Size of the total moment**: 0.0 μB per formula unit
**V**: 178.5 Å³/cell
**Density of states at the Fermi level**: 3.18 states/eV/cell
**Space-group type**: I4/mmm (139)

Cell lengths 4.470, 4.470, 9.478 Å; angles 103.64, 103.64, 90.00 degrees
Fractional coordinates of all 8 atoms:
Mg (0.500, 0.500, 0.000)
Mg (0.372, 0.872, 0.744)
Mg (0.872, 0.372, 0.744)
Mg (0.128, 0.628, 0.256)
Cd (0.252, 0.252, 0.504)
In (0.000, 0.000, 0.000)
Mg (0.628, 0.128, 0.256)
Cd (0.748, 0.748, 0.496)

It comes down to two), which is 0.041 eV/atom more stable than the next structure.

one) MgTlCdIn | GGA-PBE | relaxed

Calculated values
**Size of the total moment**: 0.0 μB per formula unit
**V**: 101.7 Å³/cell
**Density of states at the Fermi level**: 1.93 states/eV/cell
**Space-group type**: F-43m (216)

Cell lengths 5.240, 5.240, 5.240 Å; angles 60.00, 60.00, 60.00 degrees
Fractional coordinates of all 4 atoms:
Cd (0.750, 0.750, 0.750)
Mg (0.250, 0.250, 0.250)
Tl (0.000, 0.000, 0.000)
In (0.500, 0.500, 0.500)

two) MgTlCdIn | GGA-PBE | relaxed

Calculated values
**Size of the total moment**: 0.0 μB per formula unit
**V**: 102.3 Å³/cell
**Density of states at the Fermi level**: 1.56 states/eV/cell
**Space-group type**: P4mm (99)

Cell lengths 3.315, 3.315, 9.310 Å; angles 90.00, 90.00, 90.00 degrees
Fractional coordinates of all 4 atoms:
In (0.500, 0.500, 0.791)
Mg (0.000, 0.000, 0.564)
Tl (0.000, 0.000, 0.081)
Cd (0.500, 0.500, 0.349)

It comes down to two), which is 0.050 eV/atom more stable than the next structure.

one) MnCdIn3 | GGA-PBE | relaxed

Calculated values
**Size of the total moment**: 4.7 μB per formula unit
**V**: 163.5 Å³/cell
**Density of states at the Fermi level**: 3.11 states/eV/cell
**Space-group type**: Pm-3m (221)

Cell lengths 5.468, 5.468, 5.468 Å; angles 90.00, 90.00, 90.00 degrees
Each line ends with the local moment (μB).
Fractional coordinates of all 5 atoms:
In (0.000, 0.500, 0.000)  -0.04
In (0.500, 0.000, 0.000)  -0.01
Cd (0.000, 0.000, 0.000)  0.01
Mn (0.500, 0.500, 0.500)  4.41
In (0.000, 0.000, 0.500)  -0.01

two) MnCdIn3 | GGA-PBE | relaxed

Calculated values
**Size of the total moment**: 2.2 μB per formula unit
**V**: 136.3 Å³/cell
**Density of states at the Fermi level**: 3.19 states/eV/cell
**Space-group type**: Pm-3m (221)

Cell lengths 5.146, 5.146, 5.146 Å; angles 90.00, 90.00, 90.00 degrees
Each line ends with the local moment (μB).
Fractional coordinates of all 5 atoms:
Mn (0.000, 0.000, 0.000)  2.42
Cd (0.500, 0.500, 0.500)  0.03
In (0.000, 0.000, 0.500)  -0.03
In (0.000, 0.500, 0.000)  -0.07
In (0.500, 0.000, 0.000)  -0.09

It comes down to two), which is 0.487 eV/atom more stable than the next structure.

one) CdInMo2 | GGA-PBE | relaxed

Calculated values
**Size of the total moment**: 0.0 μB per formula unit
**V**: 72.8 Å³/cell
**Density of states at the Fermi level**: 2.99 states/eV/cell
**Space-group type**: Cm (8)

Cell lengths 5.045, 5.045, 5.294 Å; angles 85.08, 85.08, 32.83 degrees
Fractional coordinates of all 4 atoms:
Mo (0.004, 0.004, 0.022)
In (0.748, 0.748, 0.744)
Mo (0.246, 0.246, 0.229)
Cd (0.501, 0.501, 0.505)

two) CdInMo2 | GGA-PBE | relaxed

Calculated values
**Size of the total moment**: 0.0 μB per formula unit
**V**: 76.7 Å³/cell
**Density of states at the Fermi level**: 2.16 states/eV/cell
**Space-group type**: Cmm2 (35)

Cell lengths 2.924, 2.924, 9.719 Å; angles 90.00, 90.00, 112.61 degrees
Fractional coordinates of all 4 atoms:
Mo (0.000, 0.000, 0.023)
Cd (0.000, 0.000, 0.481)
Mo (0.500, 0.500, 0.227)
In (0.500, 0.500, 0.770)

It comes down to two), which is 0.152 eV/atom more stable than the next structure.

one) CdInMo2 | GGA-PBE | relaxed

Calculated values
**Size of the total moment**: 0.0 μB per formula unit
**V**: 71.9 Å³/cell
**Density of states at the Fermi level**: 2.96 states/eV/cell
**Space-group type**: I-4m2 (119)

Cell lengths 5.005, 5.005, 5.005 Å; angles 129.93, 129.93, 73.52 degrees
Fractional coordinates of all 4 atoms:
Cd (0.500, 0.500, 0.000)
Mo (0.000, 0.000, 0.000)
Mo (0.250, 0.750, 0.500)
In (0.750, 0.250, 0.500)

two) CdInMo2 | GGA-PBE | relaxed

Calculated values
**Size of the total moment**: 0.0 μB per formula unit
**V**: 72.6 Å³/cell
**Density of states at the Fermi level**: 3.65 states/eV/cell
**Space-group type**: Pmmm (47)

Cell lengths 2.818, 4.556, 5.651 Å; angles 90.00, 90.00, 90.00 degrees
Fractional coordinates of all 4 atoms:
Mo (0.000, 0.000, 0.508)
Cd (0.500, 0.500, 0.250)
In (0.500, 0.500, 0.750)
Mo (0.000, 0.000, 0.992)

three) CdInMo2 | GGA-PBE | relaxed

Calculated values
**Size of the total moment**: 0.0 μB per formula unit
**V**: 72.2 Å³/cell
**Density of states at the Fermi level**: 2.74 states/eV/cell
**Space-group type**: C2/m (12)

Cell lengths 5.669, 5.453, 2.827 Å; angles 82.85, 74.97, 116.91 degrees
Fractional coordinates of all 4 atoms:
In (0.500, 0.500, 0.000)
Mo (0.500, 0.000, 0.500)
Cd (0.000, 0.500, 0.500)
Mo (0.000, 0.000, 0.000)

four) CdInMo2 | GGA-PBE | relaxed

Calculated values
**Size of the total moment**: 0.0 μB per formula unit
**V**: 81.0 Å³/cell
**Density of states at the Fermi level**: 1.82 states/eV/cell
**Space-group type**: R3m (160)

Cell lengths 9.678, 9.678, 9.678 Å; angles 18.65, 18.65, 18.65 degrees
Fractional coordinates of all 4 atoms:
In (0.743, 0.743, 0.743)
Mo (0.262, 0.262, 0.262)
Cd (0.507, 0.507, 0.507)
Mo (0.989, 0.989, 0.989)

It comes down to four), which is 0.125 eV/atom more stable than the next structure.

one) CdInMo2 | GGA-PBE | relaxed

Calculated values
**Size of the total moment**: 0.0 μB per formula unit
**V**: 72.4 Å³/cell
**Density of states at the Fermi level**: 3.07 states/eV/cell
**Space-group type**: P4/mmm (123)

Cell lengths 2.823, 2.823, 9.087 Å; angles 90.00, 90.00, 90.00 degrees
Fractional coordinates of all 4 atoms:
In (0.500, 0.500, 0.750)
Mo (0.000, 0.000, 0.502)
Mo (0.000, 0.000, 0.998)
Cd (0.500, 0.500, 0.250)

two) CdInMo2 | GGA-PBE | relaxed

Calculated values
**Size of the total moment**: 0.0 μB per formula unit
**V**: 76.1 Å³/cell
**Density of states at the Fermi level**: 1.84 states/eV/cell
**Space-group type**: P4mm (99)

Cell lengths 3.280, 3.280, 7.072 Å; angles 90.00, 90.00, 90.00 degrees
Fractional coordinates of all 4 atoms:
Cd (0.000, 0.000, 0.477)
Mo (0.000, 0.000, 0.036)
In (0.500, 0.500, 0.774)
Mo (0.500, 0.500, 0.213)

It comes down to two), which is 0.244 eV/atom more stable than the next structure.